1.
Density functional theory data (PBE) for Zn3AgAu6 after structural relaxation.

Geometry as POSCAR:
```
Zn3AgAu6
1.0
6.131 0.000 0.000
0.000 7.823 -0.182
0.000 -1.923 7.585
Au Zn Ag
12 6 2
direct
0.261 0.964 0.036 Au
0.761 0.036 0.964 Au
0.639 0.288 0.712 Au
0.303 0.557 0.939 Au
0.803 0.939 0.557 Au
0.118 0.727 0.666 Au
0.303 0.061 0.443 Au
0.803 0.443 0.061 Au
0.118 0.334 0.273 Au
0.618 0.273 0.334 Au
0.618 0.666 0.727 Au
0.139 0.712 0.288 Au
0.806 0.580 0.420 Zn
0.927 0.026 0.275 Zn
0.306 0.420 0.580 Zn
0.427 0.974 0.725 Zn
0.927 0.725 0.974 Zn
0.427 0.275 0.026 Zn
0.583 0.790 0.210 Ag
0.083 0.210 0.790 Ag
```

Calculated values
DFT formation energy = -90 meV/atom
crystal system = orthorhombic
symmetry = Cmc2_1
final energy = -2.724 eV/atom
energy above the most stable polymorph in this dataset = 55.4 meV/atom

2.
Density functional theory data (PBE) for HfCoTeI2 after structural relaxation.

Geometry as POSCAR:
```
HfCoTeI2
1.0
-3.463 -1.323 3.395
3.639 -1.504 3.125
0.198 4.723 2.043
Hf I Co Te
1 2 1 1
direct
0.500 0.500 0.500 Hf
0.500 0.000 0.000 I
0.000 0.500 0.000 I
0.000 0.000 0.000 Co
0.000 0.000 0.500 Te
```

Calculated values
crystal system = tetragonal
symmetry = P4/mmm
final energy = -4.103 eV/atom
energy above the most stable polymorph in this dataset = 80.8 meV/atom

3.
Density functional theory data (PBE) for ScFeBr2 after structural relaxation.

Geometry as POSCAR:
```
ScFeBr2
1.0
-2.876 -1.890 -0.415
1.829 -3.641 3.910
-0.635 -0.251 5.551
Br Sc Fe
2 1 1
direct
0.500 0.500 0.000 Br
0.000 0.000 0.000 Br
0.000 0.000 0.500 Sc
0.500 0.500 0.500 Fe
```

Calculated values
crystal system = monoclinic
symmetry = P2/m
final energy = -4.710 eV/atom
energy above the most stable polymorph in this dataset = 376.9 meV/atom